Record 1
# TbSm12Th5 (PBE, optimized geometry)
# E: -5.4058 eV per atom
# size of the total moment: 0.000 μB per atom
data_TbSm12Th5
_chemical_formula_sum 'Tb2 Sm24 Th10'
_space_group_name_H-M_alt 'C 1 2/m 1'
_space_group_IT_number 12
_cell_length_a 18.705
_cell_length_b 10.808
_cell_length_c 6.261
_cell_angle_alpha 90.00
_cell_angle_beta 108.98
_cell_angle_gamma 90.00
loop_
_space_group_symop_operation_xyz
'x,y,z'
'-x,-y,-z'
'-x,y,-z'
'x,-y,z'
'x+1/2,y+1/2,z'
'-x+1/2,-y+1/2,-z'
'-x+1/2,y+1/2,-z'
'x+1/2,-y+1/2,z'
loop_
_atom_site_label
_atom_site_fract_x
_atom_site_fract_y
_atom_site_fract_z
Tb1 0.000 0.000 0.000
Sm1 0.000 0.164 0.500
Sm2 0.000 0.339 0.000
Sm3 0.167 0.337 0.832
Sm4 0.168 0.164 0.336
Th1 0.000 0.500 0.500
Th2 0.166 0.500 0.331
Th3 0.168 0.000 0.829

Record 2
# Sm5Ag2Ru2 (PBE, optimized geometry)
# size of the total moment: 0.000 μB per atom
# ΔE to the lowest computed polymorph: 0.000 eV/atom
data_Sm5Ag2Ru2
_chemical_formula_sum 'Sm20 Ag8 Ru8'
_space_group_name_H-M_alt 'C m c e'
_space_group_IT_number 64
_space_group_name_Hall '-C 2ac 2'
_cell_length_a 15.488
_cell_length_b 7.715
_cell_length_c 7.808
_cell_angle_alpha 90.00
_cell_angle_beta 90.00
_cell_angle_gamma 90.00
loop_
_atom_site_label
_atom_site_fract_x
_atom_site_fract_y
_atom_site_fract_z
Sm1 0.000 0.000 0.000
Sm2 0.122 0.166 0.334
Ag1 0.211 0.000 0.000
Ru1 0.000 0.137 0.638

Record 3
# Cu2PCl (PBE, optimized geometry)
# size of the total moment: 0.000 μB per atom
# ΔE to the lowest computed polymorph: 0.000 eV/atom
data_Cu2PCl
_chemical_formula_sum 'Cu2 P1 Cl1'
_space_group_name_H-M_alt 'P 1 m 1'
_space_group_IT_number 6
_cell_length_a 3.069
_cell_length_b 3.433
_cell_length_c 6.459
_cell_angle_alpha 90.00
_cell_angle_beta 90.17
_cell_angle_gamma 90.00
loop_
_space_group_symop_operation_xyz
'x,y,z'
'x,-y,z'
loop_
_atom_site_label
_atom_site_fract_x
_atom_site_fract_y
_atom_site_fract_z
Cu1 0.000 0.000 0.000
Cu2 0.007 0.500 0.385
P1 0.504 0.000 0.264
Cl1 0.004 0.500 0.756

Record 4
# Dy2Zn5Ga3 (PBE, optimized geometry)
# size of the total moment: 0.000 μB per atom
# ΔE to the lowest computed polymorph: 0.032 eV/atom
data_Dy2Zn5Ga3
_chemical_formula_sum 'Dy2 Zn5 Ga3'
_space_group_name_H-M_alt 'P -4 m 2'
_space_group_IT_number 115
_cell_length_a 4.147
_cell_length_b 4.147
_cell_length_c 10.689
_cell_angle_alpha 90.00
_cell_angle_beta 90.00
_cell_angle_gamma 90.00
loop_
_space_group_symop_operation_xyz
'x,y,z'
'y,-x,-z'
'-x,-y,z'
'-y,x,-z'
'-x,y,z'
'-y,-x,-z'
'x,-y,z'
'y,x,-z'
loop_
_atom_site_label
_atom_site_fract_x
_atom_site_fract_y
_atom_site_fract_z
Dy1 0.000 0.500 0.249
Zn1 0.000 0.000 0.500
Zn2 0.000 0.500 0.632
Zn3 0.500 0.500 0.000
Zn4 0.500 0.500 0.500
Ga1 0.000 0.000 0.000
Ga2 0.000 0.500 0.857